[1]
Computed, not measured: a geometry-optimized PmBSb structure at the PBE level of DFT.

Summary:
As for the energy above the most stable polymorph in this dataset: 516.0 meV per atom. As for the volume: 81.6 Å³ per cell. The spin magnetization is 0.000 μB/atom.

Cell and atoms, written as POSCAR:
```
PmBSb
1.0
0.0000 3.4426 3.4426
3.4426 0.0000 3.4426
3.4426 3.4426 0.0000
Pm B Sb
1 1 1
Cartesian
0.0000 0.0000 0.0000
5.1639 5.1639 5.1639
1.7213 1.7213 1.7213
```

[2]
Computed, not measured: a geometry-optimized LaBeOs structure at the PBE level of DFT.

Summary:
As for the energy above the most stable polymorph in this dataset: 876.8 meV per atom. As for the volume: 68.4 Å³ per cell. The spin magnetization is 0.002 μB/atom.

Cell and atoms, written as POSCAR:
```
LaBeOs
1.0
0.0000 3.2461 3.2461
3.2461 0.0000 3.2461
3.2461 3.2461 0.0000
La Be Os
1 1 1
Cartesian
0.0000 0.0000 0.0000
4.8692 4.8692 4.8692
1.6231 1.6231 1.6231
```

[3]
Computed, not measured: a geometry-optimized LiGdSb2 structure at the PBE level of DFT.

Summary:
Its total energy is -36.15 eV/cell. As for the volume: 196.5 Å³ per cell. The spin magnetization is 0.000 μB/atom.

Cell and atoms, written as POSCAR:
```
LiGdSb2
1.0
4.2826 0.0000 0.0000
0.0000 4.2826 0.0000
0.0000 0.0000 10.7137
Li Gd Sb
2 2 4
Cartesian
1.0706 3.2119 0.0000
3.2119 1.0706 0.0000
1.0706 1.0706 2.8470
3.2119 3.2119 7.8667
1.0706 1.0706 8.9242
1.0706 3.2119 5.3568
3.2119 1.0706 5.3568
3.2119 3.2119 1.7895
```

[4]
Computed, not measured: a geometry-optimized Nb3InN2 structure at the PBE level of DFT.

Summary:
Its total energy is -107.03 eV/cell. As for the volume: 168.9 Å³ per cell. The spin magnetization is 0.000 μB/atom.

Cell and atoms, written as POSCAR:
```
Nb3InN2
1.0
3.1529 0.0000 0.0000
-1.5764 2.7305 0.0000
0.0000 0.0000 19.6149
Nb In N
6 2 4
Cartesian
0.0000 0.0000 0.0000
0.0000 0.0000 9.8075
0.0000 1.8203 2.4818
0.0000 1.8203 7.3256
1.5764 0.9102 12.2893
1.5764 0.9102 17.1331
0.0000 0.0000 4.9037
0.0000 0.0000 14.7112
0.0000 1.8203 11.0781
0.0000 1.8203 18.3443
1.5764 0.9102 1.2706
1.5764 0.9102 8.5369
```